## K2RbRe (PBE)

Data for a relaxed K2RbRe crystal.

Crystal system: tetragonal
Energy of formation from the pure elements in meV per atom: 1613
Polymorph energy (0 for the lowest one) in eV/atom: 0.099
Electronic total energy in eV/atom: -2.2899

```
data_K2RbRe
_chemical_formula_sum 'K8 Rb4 Re4'
_space_group_name_H-M_alt 'I -4 2 d'
_space_group_IT_number 122
_space_group_name_Hall 'I -4 2bw'
_cell_length_a 5.457
_cell_length_b 5.457
_cell_length_c 26.685
_cell_angle_alpha 90.00
_cell_angle_beta 90.00
_cell_angle_gamma 90.00
loop_
_atom_site_label
_atom_site_type_symbol
_atom_site_fract_x
_atom_site_fract_y
_atom_site_fract_z
K1 K 0.222 0.250 0.125
Rb1 Rb 0.000 0.000 0.500
Re1 Re 0.000 0.000 0.000
```